[1]
This record from Alexandria describes a relaxed Ga4Ni3Rh crystal. The functional is PBE-GGA.

Formation energy from the elements ... -0.419 eV/atom
SG ... C2/m, No. 12

Cell lengths 6.888, 6.888, 4.062 Å; angles 107.09, 107.09, 34.29 degrees
Atoms (fractional coordinates):
1 Ga 0.129 0.129 0.129
2 Ga 0.371 0.371 0.371
3 Ga 0.629 0.629 0.629
4 Ga 0.871 0.871 0.871
5 Ni 0.000 0.000 0.500
6 Ni 0.255 0.255 0.756
7 Ni 0.745 0.745 0.244
8 Rh 0.500 0.500 0.000

[2]
This record from Alexandria describes a relaxed Ho5Zn2 crystal. The functional is PBE-GGA.

Formation energy from the elements ... -0.141 eV/atom
SG ... C2/c, No. 15

Cell lengths 8.724, 8.724, 6.663 Å; angles 90.79, 90.79, 47.09 degrees
Atoms (fractional coordinates):
1 Ho 0.003 0.997 0.750
2 Ho 0.204 0.249 0.761
3 Ho 0.249 0.204 0.261
4 Ho 0.268 0.547 0.497
5 Ho 0.453 0.732 0.003
6 Ho 0.547 0.268 0.997
7 Ho 0.732 0.453 0.503
8 Ho 0.751 0.796 0.739
9 Ho 0.796 0.751 0.239
10 Ho 0.997 0.003 0.250
11 Zn 0.129 0.645 0.988
12 Zn 0.355 0.871 0.512
13 Zn 0.645 0.129 0.488
14 Zn 0.871 0.355 0.012

[3]
This record from Alexandria describes a relaxed PrCo6Si4 crystal. The functional is PBE-GGA.

Energy relative to the elements, uncorrected ... -0.585 eV/atom
SG ... P-6m2, No. 187

Cell lengths 6.643, 6.643, 3.660 Å; angles 90.00, 90.00, 120.00 degrees
Atoms (fractional coordinates):
1 Pr 0.000 0.000 0.000
2 Co 0.207 0.414 0.500
3 Co 0.207 0.793 0.500
4 Co 0.534 0.068 0.000
5 Co 0.534 0.466 0.000
6 Co 0.586 0.793 0.500
7 Co 0.932 0.466 0.000
8 Si 0.333 0.667 0.000
9 Si 0.404 0.202 0.500
10 Si 0.798 0.202 0.500
11 Si 0.798 0.596 0.500

[4]
This record from Alexandria describes a relaxed Sm4TlTe3 crystal. The functional is PBE-GGA.

Polymorph energy (0 for the lowest one) ... 0.018 eV per atom
Energy relative to the elements, uncorrected ... -1.156 eV/atom
SG ... Cmmm, No. 65

Cell lengths 7.731, 7.731, 4.451 Å; angles 90.00, 90.00, 109.20 degrees
Atoms (fractional coordinates):
1 Sm 0.244 0.244 0.500
2 Sm 0.245 0.755 0.000
3 Sm 0.755 0.245 0.000
4 Sm 0.756 0.756 0.500
5 Tl 0.000 0.000 0.000
6 Te 0.000 0.500 0.500
7 Te 0.500 0.000 0.500
8 Te 0.500 0.500 0.000

[5]
This record from Alexandria describes a relaxed SmPaMo crystal. The functional is PBE-GGA.

Formation energy from the elements ... 0.137 eV/atom
Polymorph energy (0 for the lowest one) ... 0.000 eV per atom
SG ... I4mm, No. 107

Cell lengths 6.263, 6.263, 6.263 Å; angles 147.53, 147.53, 46.57 degrees
Atoms (fractional coordinates):
1 Sm 0.000 0.000 0.000
2 Pa 0.304 0.304 0.000
3 Mo 0.688 0.688 0.000

[6]
This record from Alexandria describes a relaxed Al2ReOs crystal. The functional is PBE-GGA.

Formation energy from the elements ... -0.127 eV/atom
Polymorph energy (0 for the lowest one) ... 0.106 eV per atom
SG ... P4mm, No. 99

Cell lengths 2.833, 2.833, 7.647 Å; angles 90.00, 90.00, 90.00 degrees
Atoms (fractional coordinates):
1 Al 0.000 0.000 0.000
2 Al 0.500 0.500 0.302
3 Re 0.500 0.500 0.757
4 Os 0.000 0.000 0.534